Entry 1:
DFT (PBE) results for ZnW4SN2 after structural relaxation.

Computed properties:
E_tot	-9.062	eV per atom
crystal system	hexagonal
density	14.2	g cm⁻³
spin magnetization	0.00	μB/cell

Cell: 2.8707 2.8707 14.1116 Å, 90.00 90.00 120.00°
Space group P-6m2 (No. 187)
One atom of each set of equivalent atoms:
Zn 0.0000 0.0000 0.0000 (multiplicity 1)
W 0.0000 0.0000 0.3647 (multiplicity 2)
W 0.3333 0.6667 0.1591 (multiplicity 2)
S 0.3333 0.6667 0.5000 (multiplicity 1)
N 0.6667 0.3333 0.2590 (multiplicity 2)

Entry 2:
DFT (PBE) results for Y4ZnSN2 after structural relaxation.

Computed properties:
E_tot	-7.343	eV per atom
crystal system	hexagonal
density	5.3	g cm⁻³
spin magnetization	0.00	μB/cell

Cell: 3.5778 3.5778 13.5972 Å, 90.00 90.00 120.00°
Space group P-6m2 (No. 187)
One atom of each set of equivalent atoms:
Y 0.0000 0.0000 0.1391 (multiplicity 2)
Y 0.3333 0.6667 0.3356 (multiplicity 2)
Zn 0.0000 0.0000 0.5000 (multiplicity 1)
S 0.3333 0.6667 0.0000 (multiplicity 1)
N 0.6667 0.3333 0.2308 (multiplicity 2)

Entry 3:
DFT (PBE) results for Zr2SN after structural relaxation.

Computed properties:
E_tot	-8.993	eV per atom
crystal system	hexagonal
density	6.3	g cm⁻³
spin magnetization	0.00	μB/cell

Cell: 3.4045 3.4045 12.0189 Å, 90.00 90.00 120.00°
Space group P6_3/mmc (No. 194)
One atom of each set of equivalent atoms:
Zr 0.3333 0.6667 0.0984 (multiplicity 4)
S 0.3333 0.6667 0.7500 (multiplicity 2)
N 0.0000 0.0000 0.0000 (multiplicity 2)

Entry 4:
DFT (PBE) results for Zr2SN after structural relaxation.

Computed properties:
E_tot	-8.993	eV per atom
crystal system	hexagonal
density	6.3	g cm⁻³
spin magnetization	0.00	μB/cell

Cell: 3.4035 3.4035 12.0254 Å, 90.00 90.00 120.00°
Space group P6_3/mmc (No. 194)
One atom of each set of equivalent atoms:
Zr 0.3333 0.6667 0.0984 (multiplicity 4)
S 0.3333 0.6667 0.7500 (multiplicity 2)
N 0.0000 0.0000 0.0000 (multiplicity 2)

Entry 5:
DFT (PBE) results for Sc2Ta4Sb3N3 after structural relaxation.

Computed properties:
E_tot	-8.828	eV per atom
crystal system	monoclinic
density	10.6	g cm⁻³
spin magnetization	0.00	μB/cell

Cell: 10.0794 5.8774 13.3718 Å, 90.00 104.46 90.00°
Space group C2/c (No. 15)
One atom of each set of equivalent atoms:
Sc 0.0533 0.0829 0.4088 (multiplicity 8)
Ta 0.1106 0.4228 0.5782 (multiplicity 8)
Ta 0.2207 0.4131 0.9219 (multiplicity 8)
Sb 0.0000 0.4268 0.2500 (multiplicity 4)
Sb 0.1725 0.0908 0.7501 (multiplicity 8)
N 0.0791 0.2391 0.0000 (multiplicity 8)
N 0.2500 0.2500 0.5000 (multiplicity 4)

Entry 6:
DFT (PBE) results for Sc4Ta2Sb3N3 after structural relaxation.

Computed properties:
E_tot	-8.205	eV per atom
crystal system	monoclinic
density	8.1	g cm⁻³
spin magnetization	0.01	μB/cell

Cell: 10.0074 5.8364 13.8032 Å, 90.00 104.03 90.00°
Space group C2/c (No. 15)
One atom of each set of equivalent atoms:
Sc 0.1124 0.0813 0.0868 (multiplicity 8)
Sc 0.2195 0.0844 0.4132 (multiplicity 8)
Ta 0.0574 0.4163 0.9217 (multiplicity 8)
Sb 0.0000 0.0970 0.7500 (multiplicity 4)
Sb 0.1600 0.4233 0.2492 (multiplicity 8)
N 0.0835 0.2497 0.5000 (multiplicity 8)
N 0.2500 0.2500 0.0000 (multiplicity 4)

Entry 7:
DFT (PBE) results for Sc4Sb3W2N3 after structural relaxation.

Computed properties:
E_tot	-8.158	eV per atom
crystal system	monoclinic
density	8.3	g cm⁻³
spin magnetization	0.04	μB/cell

Cell: 10.0359 5.8962 13.4002 Å, 90.00 104.28 90.00°
Space group C2/c (No. 15)
One atom of each set of equivalent atoms:
Sc 0.1127 0.0886 0.0874 (multiplicity 8)
Sc 0.2223 0.0802 0.4130 (multiplicity 8)
Sb 0.0000 0.1058 0.7500 (multiplicity 4)
Sb 0.1577 0.4244 0.2510 (multiplicity 8)
W 0.0551 0.4205 0.9259 (multiplicity 8)
N 0.0856 0.2437 0.5000 (multiplicity 8)
N 0.2500 0.2500 0.0000 (multiplicity 4)

Entry 8:
DFT (PBE) results for Sc2Sb3W4N3 after structural relaxation.

Computed properties:
E_tot	-8.706	eV per atom
crystal system	monoclinic
density	11.0	g cm⁻³
spin magnetization	0.01	μB/cell

Cell: 10.0091 5.8480 13.0786 Å, 90.00 104.36 90.00°
Space group C2/c (No. 15)
One atom of each set of equivalent atoms:
Sc 0.0572 0.0858 0.4074 (multiplicity 8)
Sb 0.0000 0.4308 0.2500 (multiplicity 4)
Sb 0.1754 0.0986 0.7470 (multiplicity 8)
W 0.1081 0.4323 0.5771 (multiplicity 8)
W 0.2156 0.4125 0.9229 (multiplicity 8)
N 0.0798 0.2393 0.0002 (multiplicity 8)
N 0.2500 0.2500 0.5000 (multiplicity 4)

Entry 9:
DFT (PBE) results for Zr2Sc4Sb3N3 after structural relaxation.

Computed properties:
E_tot	-7.872	eV per atom
crystal system	monoclinic
density	6.2	g cm⁻³
spin magnetization	0.02	μB/cell

Cell: 10.0818 5.8311 14.3540 Å, 90.00 103.46 90.00°
Space group C2/c (No. 15)
One atom of each set of equivalent atoms:
Zr 0.0549 0.0834 0.4154 (multiplicity 8)
Sc 0.1110 0.4171 0.5835 (multiplicity 8)
Sc 0.2218 0.4161 0.9165 (multiplicity 8)
Sb 0.0000 0.4204 0.2500 (multiplicity 4)
Sb 0.1683 0.0840 0.7499 (multiplicity 8)
N 0.0850 0.2549 0.0000 (multiplicity 8)
N 0.2500 0.2500 0.5000 (multiplicity 4)

Which value of E_tot does entry 4 give?
-8.993 eV per atom

Among the records above, which one has the highest E_tot?
Y4ZnSN2

Which value of E_tot does entry 5 give?
-8.828 eV per atom